#w
Density functional theory data (PBE) for a relaxed RbBi3O crystal.

```
5
Lattice="6.231 0.000 0.000 0.000 6.231 0.000 0.000 0.000 6.231" Properties=species:S:1:pos:R:3 pbc="T T T"
Rb 0.000 0.000 0.000
Bi 0.000 0.000 3.115
Bi 0.000 3.115 0.000
Bi 3.115 0.000 0.000
O 3.115 3.115 3.115
```

Output
Its density of states at the Fermi level is 13.64 states/eV/cell. As for the space group: Pm-3m. The magnetization comes out at 0.000 μB per formula unit.

#x
Density functional theory data (PBE) for a relaxed RbBi3O crystal.

```
5
Lattice="5.185 0.000 0.000 0.000 5.185 0.000 0.000 0.000 5.185" Properties=species:S:1:pos:R:3 pbc="T T T"
Rb 0.000 0.000 0.000
Bi 0.000 2.593 2.593
Bi 2.593 0.000 2.593
Bi 2.593 2.593 0.000
O 2.593 2.593 2.593
```

Output
Its density of states at the Fermi level is 4.63 states/eV/cell. As for the space group: Pm-3m. The magnetization comes out at 0.000 μB per formula unit.

The structure with the greatest stability is #x.